{
  "formula": "Tb6TeRu2",
  "functional": "PBE-GGA",
  "state": "relaxed",
  "lattice_angstrom": [[4.8467, 0.0000, 0.0000], [-2.4233, 5.1528, 0.8651], [0.0000, -0.3163, 9.6519]],
  "species": ["Tb", "Tb", "Tb", "Tb", "Tb", "Tb", "Te", "Ru", "Ru"],
  "fractional_positions": [[0.9685, 0.9370, 0.8275], [0.7320, 0.4639, 0.1361], [0.2680, 0.5361, 0.8639], [0.6607, 0.3214, 0.6146], [0.3393, 0.6786, 0.3854], [0.0315, 0.0630, 0.1725], [0.0000, 0.0000, 0.5000], [0.5970, 0.1940, 0.8993], [0.4030, 0.8060, 0.1007]],
  "n_ef_per_ev_cell": 9.568,
  "formation_energy_uncorrected_ev_per_atom": -0.4007,
  "density_g_cm3": 8.8
}